The following is a GGA-PBE calculation of a relaxed Zr4SiPbC2 crystal, from OQMD.

a b c (Å): 3.3666 3.3666 14.2953
angles (deg): 90.00 90.00 120.00
With the nearest neighbours (Å) after each atom.
Positions (direct):
C 0.3333 0.6667 0.7368  6 Zr 2.31-2.34
C 0.3333 0.6667 0.2632  6 Zr 2.31-2.34
Zr 0.0000 0.0000 0.8236  3 C 2.31
Zr 0.0000 0.0000 0.1764  3 C 2.31
Zr 0.6667 0.3333 0.6461  3 C 2.34
Zr 0.6667 0.3333 0.3539  3 C 2.34
Pb 0.6667 0.3333 0.0000  6 Zr 3.18, 6 Pb 3.37
Si 0.0000 0.0000 0.5000  6 Zr 2.85

Summary:
- Energy: -8.424 eV per atom

---

The following is a GGA-PBE calculation of a relaxed Sm3PbC crystal, from OQMD.

a b c (Å): 5.0505 5.0505 5.0505
angles (deg): 90.00 90.00 90.00
With the nearest neighbours (Å) after each atom.
Positions (direct):
Sm 0.0000 0.5000 0.0000  2 C 2.53
Sm 0.5000 0.0000 0.0000  2 C 2.53
Sm 0.0000 0.0000 0.5000  2 C 2.53
C 0.0000 0.0000 0.0000  6 Sm 2.53
Pb 0.5000 0.5000 0.5000  12 Sm 3.57

Summary:
- Polymorph energy (0 for the lowest one): 0 meV per atom

---

The following is a GGA-PBE calculation of a relaxed Zr4SnPbC2 crystal, from OQMD.

a b c (Å): 3.3964 3.3964 14.8560
angles (deg): 90.00 90.00 120.00
With the nearest neighbours (Å) after each atom.
Positions (direct):
C 0.6667 0.3333 0.2519  6 Zr 2.32-2.33
C 0.6667 0.3333 0.7481  6 Zr 2.32-2.33
Zr 0.3333 0.6667 0.1690  3 C 2.32
Zr 0.3333 0.6667 0.8310  3 C 2.32
Zr 0.0000 0.0000 0.3362  3 C 2.33
Zr 0.0000 0.0000 0.6638  3 C 2.33
Pb 0.0000 0.0000 0.0000  6 Zr 3.19, 6 Pb 3.40
Sn 0.3333 0.6667 0.5000  6 Zr 3.12, 6 Sn 3.40

Summary:
- Energy: -8.266 eV per atom

---

The following is a GGA-PBE calculation of a relaxed TaPb2C crystal, from OQMD.

a b c (Å): 3.3612 3.3612 15.5883
angles (deg): 90.00 90.00 120.00
With the nearest neighbours (Å) after each atom.
Positions (direct):
Pb 0.3333 0.6667 0.0971  3 C 2.46
Pb 0.6667 0.3333 0.5971  3 C 2.46
Pb 0.3333 0.6667 0.4029  3 C 2.46
Pb 0.6667 0.3333 0.9029  3 C 2.46
C 0.0000 0.0000 0.5000  6 Pb 2.46
C 0.0000 0.0000 0.0000  6 Pb 2.46
Ta 0.6667 0.3333 0.2500  6 Pb 3.07, 6 Ta 3.36
Ta 0.3333 0.6667 0.7500  6 Pb 3.07, 6 Ta 3.36

Summary:
- Energy: -5.798 eV per atom

---

The following is a GGA-PBE calculation of a relaxed Ta4Pb3W2C3 crystal, from OQMD.

a b c (Å): 5.6871 5.6871 14.3430
angles (deg): 101.46 101.46 59.98
With the nearest neighbours (Å) after each atom.
Positions (direct):
Ta 0.6935 0.8583 0.5801  3 C 2.20
Ta 0.3065 0.1417 0.4199  3 C 2.20
Ta 0.8045 0.9754 0.9200  3 C 2.19-2.21
Ta 0.9754 0.8045 0.4200  3 C 2.19-2.21
Ta 0.1417 0.3065 0.9199  3 C 2.20
Ta 0.8583 0.6935 0.0801  3 C 2.20
Ta 0.0246 0.1955 0.5800  3 C 2.19-2.21
Ta 0.1955 0.0246 0.0800  3 C 2.19-2.21
Pb 0.0884 0.9116 0.7500  4 Ta 3.05, 2 W 3.08, 6 Pb 3.22-3.32
Pb 0.2573 0.4155 0.2495  4 Ta 3.04-3.05, 2 W 3.07, 6 Pb 3.22-3.32
Pb 0.5845 0.7427 0.2505  4 Ta 3.04-3.05, 2 W 3.07, 6 Pb 3.22-3.32
Pb 0.9116 0.0884 0.2500  4 Ta 3.05, 2 W 3.08, 6 Pb 3.22-3.32
Pb 0.7427 0.5845 0.7505  4 Ta 3.04-3.05, 2 W 3.07, 6 Pb 3.22-3.32
Pb 0.4155 0.2573 0.7495  4 Ta 3.04-3.05, 2 W 3.07, 6 Pb 3.22-3.32
W 0.4749 0.6398 0.9254  3 C 2.16-2.17
W 0.5251 0.3602 0.0746  3 C 2.16-2.17
W 0.6398 0.4749 0.4254  3 C 2.16-2.17
W 0.3602 0.5251 0.5746  3 C 2.16-2.17
C 0.0000 0.5000 0.5000  2 W 2.17, 4 Ta 2.19-2.20
C 0.3328 0.8347 0.5000  2 W 2.16, 4 Ta 2.20-2.21
C 0.1653 0.6672 0.0000  2 W 2.16, 4 Ta 2.20-2.21
C 0.5000 0.0000 0.0000  2 W 2.17, 4 Ta 2.19-2.20
C 0.6672 0.1653 0.5000  2 W 2.16, 4 Ta 2.20-2.21
C 0.8347 0.3328 0.0000  2 W 2.16, 4 Ta 2.20-2.21

Summary:
- Energy: -9.286 eV per atom

---

The following is a GGA-PBE calculation of a relaxed Ta2Pb3W4C3 crystal, from OQMD.

a b c (Å): 5.5697 5.5697 14.7599
angles (deg): 91.62 91.62 59.45
With the nearest neighbours (Å) after each atom.
Positions (direct):
W 0.9915 0.8372 0.9266  3 C 2.12-2.17
W 0.0085 0.1628 0.0734  3 C 2.12-2.17
W 0.8415 0.6729 0.5726  3 C 2.13-2.16
W 0.6729 0.8415 0.0726  3 C 2.13-2.16
W 0.8372 0.9915 0.4266  3 C 2.12-2.17
W 0.1628 0.0085 0.5734  3 C 2.12-2.17
W 0.1585 0.3271 0.4274  3 C 2.13-2.16
W 0.3271 0.1585 0.9274  3 C 2.13-2.16
Pb 0.2188 0.4505 0.7570  3 W 2.91-3.25, 1 Ta 2.99, 6 Pb 3.16-3.24
Pb 0.8922 0.1078 0.7500  2 W 2.94, 2 Ta 3.12, 6 Pb 3.16-3.24
Pb 0.1078 0.8922 0.2500  2 W 2.94, 2 Ta 3.12, 6 Pb 3.16-3.24
Pb 0.4505 0.2188 0.2570  3 W 2.91-3.25, 1 Ta 2.99, 6 Pb 3.16-3.24
Pb 0.7812 0.5495 0.2430  3 W 2.91-3.25, 1 Ta 2.99, 6 Pb 3.16-3.24
Pb 0.5495 0.7812 0.7430  3 W 2.91-3.25, 1 Ta 2.99, 6 Pb 3.16-3.24
C 0.8272 0.3367 0.5006  4 W 2.12-2.16, 2 Ta 2.17-2.18
C 0.3367 0.8272 0.0006  4 W 2.12-2.16, 2 Ta 2.17-2.18
C 0.1728 0.6633 0.4994  4 W 2.12-2.16, 2 Ta 2.17-2.18
C 0.0000 0.5000 0.0000  4 W 2.13-2.17, 2 Ta 2.17
C 0.6633 0.1728 0.9994  4 W 2.12-2.16, 2 Ta 2.17-2.18
C 0.5000 0.0000 0.5000  4 W 2.13-2.17, 2 Ta 2.17
Ta 0.4978 0.6662 0.4210  3 C 2.17-2.18
Ta 0.3338 0.5022 0.0790  3 C 2.17-2.18
Ta 0.5022 0.3338 0.5790  3 C 2.17-2.18
Ta 0.6662 0.4978 0.9210  3 C 2.17-2.18

Summary:
- Energy: -9.274 eV per atom

---

The following is a GGA-PBE calculation of a relaxed Y4Ta2Pb3C3 crystal, from OQMD.

a b c (Å): 6.0673 6.0673 15.6100
angles (deg): 101.71 101.71 60.40
With the nearest neighbours (Å) after each atom.
Positions (direct):
Pb 0.2794 0.4189 0.2538  2 Pb 3.18-3.19, 4 Y 3.23-3.26, 2 Ta 3.27-3.35
Pb 0.1200 0.8800 0.7500  2 Pb 3.18, 4 Y 3.21-3.24, 2 Ta 3.26
Pb 0.7206 0.5811 0.7462  2 Pb 3.18-3.19, 4 Y 3.23-3.26, 2 Ta 3.27-3.35
Pb 0.4189 0.2794 0.7538  2 Pb 3.18-3.19, 4 Y 3.23-3.26, 2 Ta 3.27-3.35
Pb 0.5811 0.7206 0.2462  2 Pb 3.18-3.19, 4 Y 3.23-3.26, 2 Ta 3.27-3.35
Pb 0.8800 0.1200 0.2500  2 Pb 3.18, 4 Y 3.21-3.24, 2 Ta 3.26
C 0.3527 0.7942 0.5000  2 Ta 2.16-2.17
C 0.2058 0.6473 0.0000  2 Ta 2.16-2.17
C 0.7942 0.3527 0.0000  2 Ta 2.16-2.17
C 0.5000 0.0000 0.0000  2 Ta 2.22, 4 Y 2.46-2.48
C 0.6473 0.2058 0.5000  2 Ta 2.16-2.17
C 0.0000 0.5000 0.5000  2 Ta 2.22, 4 Y 2.46-2.48
Y 0.9569 0.8136 0.4107  3 C 2.46-2.54
Y 0.0431 0.1864 0.5893  3 C 2.46-2.54
Y 0.3027 0.1235 0.4106  3 C 2.48-2.53
Y 0.1235 0.3027 0.9106  3 C 2.48-2.53
Y 0.8136 0.9569 0.9107  3 C 2.46-2.54
Y 0.8765 0.6973 0.0894  3 C 2.48-2.53
Y 0.6973 0.8765 0.5894  3 C 2.48-2.53
Y 0.1864 0.0431 0.0893  3 C 2.46-2.54
Ta 0.6531 0.4760 0.4302  3 C 2.16-2.22
Ta 0.5240 0.3469 0.0698  3 C 2.16-2.22
Ta 0.3469 0.5240 0.5698  3 C 2.16-2.22
Ta 0.4760 0.6531 0.9302  3 C 2.16-2.22

Summary:
- Energy: -7.825 eV per atom

---

The following is a GGA-PBE calculation of a relaxed Ta4ZnPbC2 crystal, from OQMD.

a b c (Å): 3.1969 3.1969 14.0353
angles (deg): 90.00 90.00 120.00
With the nearest neighbours (Å) after each atom.
Positions (direct):
C 0.3333 0.6667 0.2605  6 Ta 2.18-2.19
C 0.3333 0.6667 0.7395  6 Ta 2.18-2.19
Ta 0.6667 0.3333 0.8241  3 C 2.19
Ta 0.0000 0.0000 0.3435  3 C 2.18
Ta 0.0000 0.0000 0.6565  3 C 2.18
Ta 0.6667 0.3333 0.1759  3 C 2.19
Pb 0.0000 0.0000 0.0000  6 Ta 3.08, 6 Pb 3.20
Zn 0.6667 0.3333 0.5000  6 Ta 2.87, 6 Zn 3.20

Summary:
- Energy: -9.102 eV per atom